1.
Entry from the Alexandria database: crystalline LaOs3 at its relaxed geometry (PBE).

Calculated values
Theoretical density, Mg/m³: 16.8
Total magnetic moment, μB per atom: 0.00
Formation energy, eV/atom: 0.80
D(E_F), states/eV/atom: 1.813

a b c (Å): 4.939 4.939 4.939
angles (deg): 129.33 129.33 74.48
Fractional positions:
La1 0.000 0.000 0.000
Os1 0.250 0.750 0.500
Os2 0.500 0.500 0.000
Os3 0.750 0.250 0.500

=====

2.
Entry from the Alexandria database: crystalline La5Os4 at its relaxed geometry (PBE).

Calculated values
Theoretical density, Mg/m³: 11.5
Total magnetic moment, μB per atom: 0.00
Formation energy, eV/atom: 0.34
D(E_F), states/eV/atom: 1.393

a b c (Å): 6.901 6.901 6.901
angles (deg): 97.95 97.95 136.32
Fractional positions:
La1 0.000 0.000 0.000
La2 0.313 0.313 0.627
La3 0.313 0.687 0.000
La4 0.687 0.313 0.000
La5 0.687 0.687 0.373
Os1 0.000 0.363 0.363
Os2 0.000 0.637 0.637
Os3 0.363 0.000 0.363
Os4 0.637 0.000 0.637

=====

3.
Entry from the Alexandria database: crystalline La4Os at its relaxed geometry (PBE).

Calculated values
Theoretical density, Mg/m³: 7.1
Total magnetic moment, μB per atom: 0.00
Formation energy, eV/atom: -0.14
D(E_F), states/eV/atom: 1.259

a b c (Å): 7.673 7.673 7.673
angles (deg): 108.58 108.58 111.27
Fractional positions:
La1 0.079 0.377 0.296
La2 0.081 0.784 0.704
La3 0.127 0.329 0.796
La4 0.216 0.921 0.298
La5 0.534 0.331 0.204
La6 0.623 0.919 0.702
La7 0.669 0.873 0.202
La8 0.671 0.466 0.798
Os1 0.000 0.000 0.000
Os2 0.750 0.250 0.500

=====

4.
Entry from the Alexandria database: crystalline LaOs3 at its relaxed geometry (PBE).

Calculated values
Theoretical density, Mg/m³: 17.0
Total magnetic moment, μB per atom: 0.00
Formation energy, eV/atom: 0.66
D(E_F), states/eV/atom: 1.189

a b c (Å): 5.050 5.050 2.871
angles (deg): 90.00 90.00 108.65
Fractional positions:
La1 0.000 0.000 0.000
Os1 0.000 0.500 0.500
Os2 0.500 0.000 0.500
Os3 0.500 0.500 0.000